Entry 1:
Density functional theory data (PBE-GGA) for crystalline LaF3 at its relaxed geometry.

Values from the calculation:
Space-group type = Fm-3m
Density = 6.5 g cm⁻³
Formation energy (no corrections) = -4.00 eV per atom
Density of states at the Fermi level = 0.00 states/eV/cell

Cell: 4.142 4.142 4.142 Å, 60.00 60.00 60.00°
Atoms (fractional coordinates):
La (0.000, 0.000, 0.000)
F (0.250, 0.250, 0.250)
F (0.500, 0.500, 0.500)
F (0.750, 0.750, 0.750)

---

Entry 2:
Density functional theory data (PBE-GGA) for crystalline ZnHg2Sb2 at its relaxed geometry.

Values from the calculation:
Space-group type = I4/mmm
Density = 6.9 g cm⁻³
Formation energy (no corrections) = 0.18 eV per atom
Density of states at the Fermi level = 1.89 states/eV/cell

Cell: 6.384 6.384 6.384 Å, 124.05 124.05 83.12°
Atoms (fractional coordinates):
Zn (0.000, 0.000, 0.000)
Hg (0.250, 0.750, 0.500)
Hg (0.750, 0.250, 0.500)
Sb (0.269, 0.269, 0.000)
Sb (0.731, 0.731, 0.000)

---

Entry 3:
Density functional theory data (PBE-GGA) for crystalline GaSiO3 at its relaxed geometry.

Values from the calculation:
Space-group type = Pm-3m
Density = 5.5 g cm⁻³
Formation energy (no corrections) = -1.62 eV per atom
Density of states at the Fermi level = 1.20 states/eV/cell

Cell: 3.540 3.540 3.540 Å, 90.00 90.00 90.00°
Atoms (fractional coordinates):
Ga (0.000, 0.000, 0.000)
Si (0.500, 0.500, 0.500)
O (0.000, 0.500, 0.500)
O (0.500, 0.000, 0.500)
O (0.500, 0.500, 0.000)

---

Entry 4:
Density functional theory data (PBE-GGA) for crystalline NaPrLuIn at its relaxed geometry.

Values from the calculation:
Space-group type = F-43m
Density = 6.6 g cm⁻³
Energy relative to the elements = -0.12 eV per atom
Density of states at the Fermi level = 3.98 states/eV/cell

Cell: 5.448 5.448 5.448 Å, 60.00 60.00 60.00°
Atoms (fractional coordinates):
Na (0.000, 0.000, 0.000)
Pr (0.250, 0.250, 0.250)
Lu (0.750, 0.750, 0.750)
In (0.500, 0.500, 0.500)

---

Entry 5:
Density functional theory data (PBE-GGA) for crystalline Zr2SbBr at its relaxed geometry.

Values from the calculation:
Space-group type = Pmmm
Density = 6.7 g cm⁻³
Formation energy (no corrections) = -0.19 eV per atom
Density of states at the Fermi level = 2.68 states/eV/cell

Cell: 3.436 4.617 5.997 Å, 90.00 90.00 90.00°
Atoms (fractional coordinates):
Zr (0.000, 0.000, 0.000)
Zr (0.500, 0.000, 0.500)
Sb (0.000, 0.500, 0.500)
Br (0.500, 0.500, 0.000)

---

Entry 6:
Density functional theory data (PBE-GGA) for crystalline Ba5Ni at its relaxed geometry.

Values from the calculation:
Space-group type = F-43m
Density = 3.8 g cm⁻³
Energy relative to the elements = 0.70 eV per atom
Density of states at the Fermi level = 16.05 states/eV/cell

Cell: 7.751 7.751 7.751 Å, 60.00 60.00 60.00°
Atoms (fractional coordinates):
Ba (0.000, 0.000, 0.000)
Ba (0.128, 0.624, 0.624)
Ba (0.624, 0.128, 0.624)
Ba (0.624, 0.624, 0.128)
Ba (0.624, 0.624, 0.624)
Ni (0.250, 0.250, 0.250)

---

Entry 7:
Density functional theory data (PBE-GGA) for crystalline K2NaPdF at its relaxed geometry.

Values from the calculation:
Space-group type = P4/mmm
Density = 2.9 g cm⁻³
Formation energy (no corrections) = -0.99 eV per atom
Density of states at the Fermi level = 0.77 states/eV/cell

Cell: 5.217 5.217 4.764 Å, 90.00 90.00 90.00°
Atoms (fractional coordinates):
K (0.000, 0.500, 0.000)
K (0.500, 0.000, 0.000)
Na (0.000, 0.000, 0.500)
Pd (0.500, 0.500, 0.500)
F (0.000, 0.000, 0.000)

---

Entry 8:
Density functional theory data (PBE-GGA) for crystalline UGaNi6 at its relaxed geometry.

Values from the calculation:
Space-group type = P-6m2
Density = 10.8 g cm⁻³
Energy relative to the elements = -0.25 eV per atom
Density of states at the Fermi level = 4.48 states/eV/cell

Cell: 5.201 5.201 4.311 Å, 90.00 90.00 120.00°
Atoms (fractional coordinates):
U (0.000, 0.000, 0.000)
Ga (0.333, 0.667, 0.500)
Ni (0.346, 0.173, 0.500)
Ni (0.502, 0.005, 0.000)
Ni (0.502, 0.498, 0.000)
Ni (0.827, 0.173, 0.500)
Ni (0.827, 0.654, 0.500)
Ni (0.995, 0.498, 0.000)

---

Entry 9:
Density functional theory data (PBE-GGA) for crystalline NaY2Hg at its relaxed geometry.

Values from the calculation:
Space-group type = P4/mmm
Density = 6.1 g cm⁻³
Energy relative to the elements = -0.08 eV per atom
Density of states at the Fermi level = 3.01 states/eV/cell

Cell: 5.253 5.253 3.953 Å, 90.00 90.00 90.00°
Atoms (fractional coordinates):
Na (0.000, 0.000, 0.000)
Y (0.000, 0.500, 0.500)
Y (0.500, 0.000, 0.500)
Hg (0.500, 0.500, 0.000)

---

Entry 10:
Density functional theory data (PBE-GGA) for crystalline Mn5Ru3 at its relaxed geometry.

Values from the calculation:
Space-group type = Cmmm
Density = 9.6 g cm⁻³
Energy relative to the elements = 0.05 eV per atom
Density of states at the Fermi level = 8.52 states/eV/cell

Cell: 5.186 5.186 3.737 Å, 90.00 90.00 91.10°
Atoms (fractional coordinates):
Mn (0.000, 0.000, 0.000)
Mn (0.000, 0.500, 0.000)
Mn (0.250, 0.250, 0.500)
Mn (0.500, 0.000, 0.000)
Mn (0.750, 0.750, 0.500)
Ru (0.244, 0.756, 0.500)
Ru (0.500, 0.500, 0.000)
Ru (0.756, 0.244, 0.500)

---

Entry 11:
Density functional theory data (PBE-GGA) for crystalline RbLiP2Au at its relaxed geometry.

Values from the calculation:
Space-group type = P4/mmm
Density = 4.1 g cm⁻³
Energy relative to the elements = 1.55 eV per atom
Density of states at the Fermi level = 5.19 states/eV/cell

Cell: 5.436 5.436 4.829 Å, 90.00 90.00 90.00°
Atoms (fractional coordinates):
Rb (0.000, 0.000, 0.000)
Li (0.000, 0.000, 0.500)
P (0.000, 0.500, 0.000)
P (0.500, 0.000, 0.000)
Au (0.500, 0.500, 0.500)

---

Entry 12:
Density functional theory data (PBE-GGA) for crystalline TiV3C at its relaxed geometry.

Values from the calculation:
Space-group type = Pm-3m
Density = 5.4 g cm⁻³
Energy relative to the elements = -0.18 eV per atom
Density of states at the Fermi level = 6.58 states/eV/cell

Cell: 4.023 4.023 4.023 Å, 90.00 90.00 90.00°
Atoms (fractional coordinates):
Ti (0.000, 0.000, 0.000)
V (0.000, 0.500, 0.500)
V (0.500, 0.000, 0.500)
V (0.500, 0.500, 0.000)
C (0.500, 0.500, 0.500)